a:
## BaCr2 (GGA-PBE)

Data for a relaxed BaCr2 crystal.

Structure (POSCAR):
```
BaCr2
1.0
0.0000 3.9440 3.9440
3.9440 0.0000 3.9440
3.9440 3.9440 0.0000
Ba Cr
1 2
direct
0.0000 0.0000 0.0000 Ba
0.2500 0.2500 0.2500 Cr
0.7500 0.7500 0.7500 Cr
```

Density of states at the Fermi level, states/eV/atom: 0.6865
SG: Fm-3m (225)

***

b:
## BaCr2 (GGA-PBE)

Data for a relaxed BaCr2 crystal.

Structure (POSCAR):
```
BaCr2
1.0
-1.5884 1.5884 6.2265
1.5884 -1.5884 6.2265
1.5884 1.5884 -6.2265
Ba Cr
1 2
direct
0.0000 0.0000 0.0000 Ba
0.2765 0.2765 0.0000 Cr
0.7235 0.7235 0.0000 Cr
```

Density of states at the Fermi level, states/eV/atom: 1.3691
SG: I4/mmm (139)

***

c:
## BaCr2 (GGA-PBE)

Data for a relaxed BaCr2 crystal.

Structure (POSCAR):
```
BaCr2
1.0
4.3783 -1.9883 0.0000
4.3783 1.9883 0.0000
-2.5373 0.0000 10.3004
Ba Cr
2 4
direct
0.1953 0.1953 0.1983 Ba
0.8047 0.8047 0.8017 Ba
0.1547 0.1547 0.5410 Cr
0.4290 0.4290 0.5919 Cr
0.5710 0.5710 0.4081 Cr
0.8453 0.8453 0.4590 Cr
```

Density of states at the Fermi level, states/eV/atom: 0.8012
SG: C2/m (12)

***

Which of them is most stable, and which least? Most stable: c; least stable: a.

***

a:
## BaCr2 (GGA-PBE)

Data for a relaxed BaCr2 crystal.

Structure (POSCAR):
```
BaCr2
1.0
1.5132 -12.0988 0.0000
1.5132 12.0988 0.0000
0.0000 0.0000 3.6023
Ba Cr
2 4
direct
0.1233 0.8767 0.7500 Ba
0.8767 0.1233 0.2500 Ba
0.2398 0.7602 0.2500 Cr
0.4793 0.5207 0.7500 Cr
0.5207 0.4793 0.2500 Cr
0.7602 0.2398 0.7500 Cr
```

Density of states at the Fermi level, states/eV/atom: 1.0697
SG: Cmcm (63)

***

b:
## BaCr2 (GGA-PBE)

Data for a relaxed BaCr2 crystal.

Structure (POSCAR):
```
BaCr2
1.0
3.0390 0.0000 0.0000
0.0000 7.9185 0.0000
0.0000 0.0000 6.1211
Ba Cr
2 4
direct
0.0000 0.0000 0.0000 Ba
0.5000 0.5000 0.5000 Ba
0.2158 0.4073 0.0000 Cr
0.2842 0.9073 0.5000 Cr
0.7158 0.0927 0.5000 Cr
0.7842 0.5927 0.0000 Cr
```

Density of states at the Fermi level, states/eV/atom: 1.0257
SG: Pnnm (58)

***

c:
## BaCr2 (GGA-PBE)

Data for a relaxed BaCr2 crystal.

Structure (POSCAR):
```
BaCr2
1.0
3.7922 0.0000 0.0000
-1.8961 3.2842 0.0000
0.0000 0.0000 5.6260
Ba Cr
1 2
direct
0.0000 0.0000 0.0000 Ba
0.3333 0.6667 0.5000 Cr
0.6667 0.3333 0.5000 Cr
```

Density of states at the Fermi level, states/eV/atom: 1.3514
SG: P6/mmm (191)

***

Which of them is most stable, and which least? Most stable: c; least stable: b.

***

a:
## BaCr2 (GGA-PBE)

Data for a relaxed BaCr2 crystal.

Structure (POSCAR):
```
BaCr2
1.0
5.7172 0.0000 0.0000
-2.8586 4.9513 0.0000
0.0000 0.0000 6.6296
Ba Cr
2 4
direct
0.3333 0.6667 0.2500 Ba
0.6667 0.3333 0.7500 Ba
0.0000 0.0000 0.0000 Cr
0.0000 0.0000 0.5000 Cr
0.3333 0.6667 0.7500 Cr
0.6667 0.3333 0.2500 Cr
```

Density of states at the Fermi level, states/eV/atom: 0.9155
SG: P6_3/mmc (194)

***

b:
## BaCr2 (GGA-PBE)

Data for a relaxed BaCr2 crystal.

Structure (POSCAR):
```
BaCr2
1.0
3.5208 0.0000 0.0000
-1.7604 3.0491 0.0000
0.0000 0.0000 7.9101
Ba Cr
1 2
direct
0.0000 0.0000 0.0000 Ba
0.3333 0.6667 0.3598 Cr
0.6667 0.3333 0.6402 Cr
```

Density of states at the Fermi level, states/eV/atom: 0.9944
SG: P-3m1 (164)

***

c:
## BaCr2 (GGA-PBE)

Data for a relaxed BaCr2 crystal.

Structure (POSCAR):
```
BaCr2
1.0
7.5909 0.0000 0.0000
0.0000 7.5909 0.0000
0.0000 0.0000 7.5909
Ba Cr
4 8
direct
0.0000 0.0000 0.0000 Ba
0.0000 0.5000 0.5000 Ba
0.5000 0.0000 0.5000 Ba
0.5000 0.5000 0.0000 Ba
0.0656 0.5656 0.9344 Cr
0.0656 0.9344 0.4344 Cr
0.4344 0.0656 0.9344 Cr
0.4344 0.4344 0.4344 Cr
0.5656 0.5656 0.5656 Cr
0.5656 0.9344 0.0656 Cr
0.9344 0.0656 0.5656 Cr
0.9344 0.4344 0.0656 Cr
```

Density of states at the Fermi level, states/eV/atom: 1.1504
SG: Pa-3 (205)

***

d:
## BaCr2 (GGA-PBE)

Data for a relaxed BaCr2 crystal.

Structure (POSCAR):
```
BaCr2
1.0
1.5993 -11.8181 0.0000
1.5993 11.8181 0.0000
0.0000 0.0000 4.0161
Ba Cr
2 4
direct
0.1685 0.8315 0.7500 Ba
0.8315 0.1685 0.2500 Ba
0.0441 0.9559 0.2500 Cr
0.4579 0.5421 0.2500 Cr
0.5421 0.4579 0.7500 Cr
0.9559 0.0441 0.7500 Cr
```

Density of states at the Fermi level, states/eV/atom: 1.0326
SG: Cmcm (63)

***

Which of them is most stable, and which least? Most stable: d; least stable: c.

***

a:
## Ba2Cr (GGA-PBE)

Data for a relaxed Ba2Cr crystal.

Structure (POSCAR):
```
Ba2Cr
1.0
9.6493 0.0000 0.0000
-4.8246 8.3565 0.0000
0.0000 0.0000 5.0302
Ba Cr
6 3
direct
0.0000 0.2569 0.0000 Ba
0.0000 0.5935 0.5000 Ba
0.2569 0.0000 0.0000 Ba
0.4065 0.4065 0.5000 Ba
0.5935 0.0000 0.5000 Ba
0.7431 0.7431 0.0000 Ba
0.0000 0.0000 0.5000 Cr
0.3333 0.6667 0.0000 Cr
0.6667 0.3333 0.0000 Cr
```

Density of states at the Fermi level, states/eV/atom: 0.9111
SG: P-62m (189)

***

b:
## Ba2Cr (GGA-PBE)

Data for a relaxed Ba2Cr crystal.

Structure (POSCAR):
```
Ba2Cr
1.0
-2.1161 2.1161 7.4597
2.1161 -2.1161 7.4597
2.1161 2.1161 -7.4597
Ba Cr
2 1
direct
0.1353 0.1353 0.0000 Ba
0.8647 0.8647 0.0000 Ba
0.5000 0.5000 0.0000 Cr
```

Density of states at the Fermi level, states/eV/atom: 1.2182
SG: I4/mmm (139)

***

c:
## Ba2Cr (GGA-PBE)

Data for a relaxed Ba2Cr crystal.

Structure (POSCAR):
```
Ba2Cr
1.0
6.1646 0.0000 0.0000
-3.0823 5.3387 0.0000
0.0000 0.0000 3.6839
Ba Cr
2 1
direct
0.3333 0.6667 0.0000 Ba
0.6667 0.3333 0.0000 Ba
0.0000 0.0000 0.5000 Cr
```

Density of states at the Fermi level, states/eV/atom: 1.6394
SG: P6/mmm (191)

***

d:
## Ba2Cr (GGA-PBE)

Data for a relaxed Ba2Cr crystal.

Structure (POSCAR):
```
Ba2Cr
1.0
6.1677 0.0000 0.0000
-3.0839 5.3414 0.0000
0.0000 0.0000 7.8053
Ba Cr
4 2
direct
0.0000 0.0000 0.0000 Ba
0.0000 0.0000 0.5000 Ba
0.3333 0.6667 0.2500 Ba
0.6667 0.3333 0.7500 Ba
0.3333 0.6667 0.7500 Cr
0.6667 0.3333 0.2500 Cr
```

Density of states at the Fermi level, states/eV/atom: 1.1330
SG: P6_3/mmc (194)

***

Which of them is most stable, and which least? Most stable: b; least stable: c.

***

a:
## Ba2Cr (GGA-PBE)

Data for a relaxed Ba2Cr crystal.

Structure (POSCAR):
```
Ba2Cr
1.0
7.0808 -2.4352 0.0000
7.0808 2.4352 0.0000
-5.7117 0.0000 8.0971
Ba Cr
4 2
direct
0.0848 0.0848 0.3686 Ba
0.3242 0.3242 0.9188 Ba
0.6758 0.6758 0.0812 Ba
0.9152 0.9152 0.6314 Ba
0.3827 0.3827 0.3380 Cr
0.6173 0.6173 0.6620 Cr
```

Density of states at the Fermi level, states/eV/atom: 1.0212
SG: C2/m (12)

***

b:
## Ba2Cr (GGA-PBE)

Data for a relaxed Ba2Cr crystal.

Structure (POSCAR):
```
Ba2Cr
1.0
5.0192 -2.8707 0.0000
5.0192 2.8707 0.0000
-0.0306 0.0000 4.5518
Ba Cr
2 1
direct
0.1660 0.1660 0.2149 Ba
0.8340 0.8340 0.7851 Ba
0.5000 0.5000 0.5000 Cr
```

Density of states at the Fermi level, states/eV/atom: 1.0890
SG: C2/m (12)

***

Which of them is most stable, and which least? Most stable: a; least stable: b.

***

a:
## BaCr5 (GGA-PBE)

Data for a relaxed BaCr5 crystal.

Structure (POSCAR):
```
BaCr5
1.0
0.0000 3.6088 3.6088
3.6088 0.0000 3.6088
3.6088 3.6088 0.0000
Ba Cr
1 5
direct
0.0000 0.0000 0.0000 Ba
0.3764 0.3764 0.3764 Cr
0.3764 0.3764 0.8708 Cr
0.3764 0.8708 0.3764 Cr
0.7500 0.7500 0.7500 Cr
0.8708 0.3764 0.3764 Cr
```

Density of states at the Fermi level, states/eV/atom: 1.3049
SG: F-43m (216)

***

b:
## BaCr5 (GGA-PBE)

Data for a relaxed BaCr5 crystal.

Structure (POSCAR):
```
BaCr5
1.0
4.3639 -1.5190 0.0000
4.3639 1.5190 0.0000
-1.8440 0.0000 8.1564
Ba Cr
1 5
direct
0.0000 0.0000 0.0000 Ba
0.0000 0.0000 0.5000 Cr
0.3278 0.3278 0.6187 Cr
0.3437 0.3437 0.3092 Cr
0.6563 0.6563 0.6908 Cr
0.6722 0.6722 0.3813 Cr
```

Density of states at the Fermi level, states/eV/atom: 1.2142
SG: C2/m (12)

***

Which of them is most stable, and which least? Most stable: b; least stable: a.

***

a:
## Ba4Cr5 (GGA-PBE)

Data for a relaxed Ba4Cr5 crystal.

Structure (POSCAR):
```
Ba4Cr5
1.0
10.0421 0.0000 0.0000
-5.0210 8.6967 0.0000
0.0000 0.0000 7.0052
Ba Cr
8 10
direct
0.0000 0.0000 0.0000 Ba
0.0000 0.0000 0.5000 Ba
0.0000 0.3618 0.2500 Ba
0.0000 0.6382 0.7500 Ba
0.3618 0.0000 0.2500 Ba
0.3618 0.3618 0.7500 Ba
0.6382 0.0000 0.7500 Ba
0.6382 0.6382 0.2500 Ba
0.0000 0.3224 0.7500 Cr
0.0000 0.6776 0.2500 Cr
0.3224 0.0000 0.7500 Cr
0.3224 0.3224 0.2500 Cr
0.3333 0.6667 0.0000 Cr
0.3333 0.6667 0.5000 Cr
0.6667 0.3333 0.0000 Cr
0.6667 0.3333 0.5000 Cr
0.6776 0.0000 0.2500 Cr
0.6776 0.6776 0.7500 Cr
```

Density of states at the Fermi level, states/eV/atom: 0.9940
SG: P6_3/mcm (193)

***

b:
## Ba4Cr5 (GGA-PBE)

Data for a relaxed Ba4Cr5 crystal.

Structure (POSCAR):
```
Ba4Cr5
1.0
-6.1958 6.1958 2.1453
6.1958 -6.1958 2.1453
6.1958 6.1958 -2.1453
Ba Cr
4 5
direct
0.0000 0.2760 0.2760 Ba
0.0000 0.7240 0.7240 Ba
0.2760 0.0000 0.2760 Ba
0.7240 0.0000 0.7240 Ba
0.0000 0.0000 0.0000 Cr
0.4148 0.4148 0.8296 Cr
0.4148 0.5852 0.0000 Cr
0.5852 0.4148 0.0000 Cr
0.5852 0.5852 0.1704 Cr
```

Density of states at the Fermi level, states/eV/atom: 0.9859
SG: I4/mmm (139)

***

Which of them is most stable, and which least? Most stable: b; least stable: a.